ScRe2Si | PBE | optimized geometry

Structure (POSCAR):
```
ScRe2Si
1.0
3.339 0.000 0.000
0.000 4.237 0.000
0.000 0.000 4.336
Sc Re Si
1 2 1
direct
0.000 0.000 0.000
0.000 0.500 0.500
0.500 0.500 0.000
0.500 0.000 0.500
```

calculated volume	61.4	Å³/cell
total DFT energy (no corrections)	-9.1967	eV per atom

=====

Sc2ReSi2 | PBE | optimized geometry

Structure (POSCAR):
```
Sc2ReSi2
1.0
6.545 0.000 0.000
0.000 6.545 0.000
0.000 0.000 3.877
Sc Re Si
4 2 4
direct
0.176 0.324 0.000
0.324 0.824 0.000
0.676 0.176 0.000
0.824 0.676 0.000
0.000 0.000 0.500
0.500 0.500 0.500
0.130 0.630 0.500
0.370 0.130 0.500
0.630 0.870 0.500
0.870 0.370 0.500
```

calculated volume	166.1	Å³/cell
total DFT energy (no corrections)	-7.9230	eV per atom

=====

Per-record E_form (uncorrected), meV/atom: -34, -732
Per-record DOS(E_F), states/eV/cell: 3.077, 5.412